Co2Si2Mo | PBE | optimized geometry

Geometry as CIF:
```
data_Co2Si2Mo
_chemical_formula_sum 'Co4 Si4 Mo2'
_cell_length_a 6.781
_cell_length_b 6.781
_cell_length_c 2.586
_cell_angle_alpha 90.00
_cell_angle_beta 90.00
_cell_angle_gamma 90.00
_symmetry_space_group_name_H-M 'P 1'
_symmetry_Int_Tables_number 1
loop_
_symmetry_equiv_pos_as_xyz
'x,y,z'
loop_
_atom_site_label
_atom_site_type_symbol
_atom_site_fract_x
_atom_site_fract_y
_atom_site_fract_z
Co1 Co 0.852 0.352 0.500
Co2 Co 0.648 0.852 0.500
Mo1 Mo 0.500 0.500 0.000
Si1 Si 0.353 0.853 0.000
Si2 Si 0.147 0.353 0.000
Mo2 Mo 0.000 0.000 0.000
Co3 Co 0.352 0.148 0.500
Si3 Si 0.647 0.147 0.000
Si4 Si 0.853 0.647 0.000
Co4 Co 0.148 0.648 0.500
```

Values from the calculation:
Its energy relative to the elements, uncorrected is -0.44 eV per atom. The crystal system is tetragonal. The calculation puts the total energy at -76.19 eV per cell. The magnetic moment comes out at 0.0 μB per formula unit.